Entry 1:
VASP calculation (PBE) on a relaxed structure of ThMgPtAu.

Output
raw total energy	-5.413	eV per atom
ΔH_f (0 K)	-0.830	eV per atom

a = 4.9773 Å, b = 4.9773 Å, c = 4.9773 Å
α = 60.00°, β = 60.00°, γ = 60.00°
Positions (direct):
Mg 0.5000 0.5000 0.5000
Au 0.2500 0.2500 0.2500
Pt 0.7500 0.7500 0.7500
Th 0.0000 0.0000 0.0000


Entry 2:
VASP calculation (PBE) on a relaxed structure of MgUPtAu.

Output
raw total energy	-6.011	eV per atom
ΔH_f (0 K)	-0.460	eV per atom

a = 4.8529 Å, b = 4.8529 Å, c = 4.8529 Å
α = 60.00°, β = 60.00°, γ = 60.00°
Positions (direct):
Au 0.7500 0.7500 0.7500
Mg 0.0000 0.0000 0.0000
U 0.5000 0.5000 0.5000
Pt 0.2500 0.2500 0.2500


Entry 3:
VASP calculation (PBE) on a relaxed structure of MgVPtAu.

Output
raw total energy	-5.350	eV per atom
ΔH_f (0 K)	-0.342	eV per atom

a = 4.5202 Å, b = 4.5202 Å, c = 4.5202 Å
α = 60.00°, β = 60.00°, γ = 60.00°
Positions (direct):
Mg 0.5000 0.5000 0.5000
Au 0.2500 0.2500 0.2500
Pt 0.7500 0.7500 0.7500
V 0.0000 0.0000 0.0000


Entry 4:
VASP calculation (PBE) on a relaxed structure of PuMg2Au.

Output
raw total energy	-5.434	eV per atom
ΔH_f (0 K)	-0.234	eV per atom

a = 3.1660 Å, b = 3.1660 Å, c = 8.7145 Å
α = 90.00°, β = 90.00°, γ = 90.00°
Positions (direct):
Mg 0.0000 0.0000 0.7990
Mg 0.0000 0.0000 0.2010
Au 0.5000 0.5000 0.0000
Pu 0.5000 0.5000 0.5000